Entry 1:
The following is a PBE calculation of a relaxed structure of AcErH8Rh2, from the Alexandria database.

Cell and atoms, written as POSCAR:
```
AcErH8Rh2
1.0
-1.677 3.864 2.581
-3.232 3.124 -2.049
-6.360 -1.152 2.321
Rh H Ac Er
2 8 1 1
direct
0.727 0.727 0.820
0.273 0.273 0.180
0.430 0.642 0.829
0.570 0.358 0.171
0.099 0.430 0.829
0.358 0.901 0.171
0.642 0.099 0.829
0.813 0.813 0.561
0.901 0.570 0.171
0.187 0.187 0.439
0.500 0.500 0.500
0.000 0.000 0.000
```

Calculated values
space group: R-3
final energy: -4.51 eV per atom

Entry 2:
The following is a PBE calculation of a relaxed structure of AcErH6Ru2, from the Alexandria database.

Cell and atoms, written as POSCAR:
```
AcErH6Ru2
1.0
-3.729 -0.567 3.117
0.866 -1.263 4.647
-0.608 4.726 3.973
Ru H Ac Er
2 6 1 1
direct
0.797 0.797 0.608
0.203 0.203 0.392
0.038 0.578 0.805
0.578 0.579 0.805
0.579 0.038 0.805
0.421 0.962 0.195
0.422 0.421 0.195
0.962 0.422 0.195
0.000 0.000 0.000
0.500 0.500 0.500
```

Calculated values
space group: R-3m
final energy: -5.12 eV per atom

Entry 3:
The following is a PBE calculation of a relaxed structure of Ac2ErHfS6, from the Alexandria database.

Cell and atoms, written as POSCAR:
```
Ac2ErHfS6
1.0
7.230 -0.075 -0.127
-0.079 7.230 -0.130
-3.668 -3.669 5.173
Ac S Hf Er
2 6 1 1
direct
0.349 0.785 0.641
0.784 0.350 0.641
0.239 0.750 0.974
0.665 0.666 0.483
0.294 0.295 0.466
0.788 0.789 0.056
0.148 0.149 0.811
0.750 0.240 0.974
0.994 0.994 0.969
0.487 0.487 0.984
```

Calculated values
formation energy from raw total energies: -1.89 eV/atom
space group: Cm
final energy: -6.64 eV per atom

Entry 4:
The following is a PBE calculation of a relaxed structure of AcErHg4, from the Alexandria database.

Cell and atoms, written as POSCAR:
```
AcErHg4
1.0
-0.918 -1.091 -3.315
4.023 -3.098 -0.094
-4.860 -6.415 3.458
Hg Er Ac
4 1 1
direct
0.499 0.497 0.676
0.499 0.497 0.320
0.499 0.997 0.158
0.498 0.997 0.838
0.999 0.497 0.998
0.999 0.997 0.498
```

Calculated values
formation enthalpy at 0 K: -380.0 meV per atom
E above lowest polymorph: 0.0 meV/atom
space group: Pmmm
final energy: -2.03 eV per atom

Entry 5:
The following is a PBE calculation of a relaxed structure of AcEr3Hg2, from the Alexandria database.

Cell and atoms, written as POSCAR:
```
AcEr3Hg2
1.0
5.370 0.000 0.000
-2.685 9.167 -0.551
0.000 -4.683 7.622
Er Hg Ac
6 4 2
direct
0.066 0.132 0.411
0.697 0.394 0.401
0.934 0.868 0.589
0.385 0.771 0.289
0.615 0.229 0.711
0.303 0.606 0.599
0.503 0.006 0.168
0.497 0.994 0.832
0.779 0.558 0.176
0.221 0.442 0.824
0.869 0.738 0.927
0.131 0.262 0.073
```

Calculated values
formation enthalpy at 0 K: -250.4 meV per atom
space group: C2/m
final energy: -3.32 eV per atom

Entry 6:
The following is a PBE calculation of a relaxed structure of AcEr2Hg3, from the Alexandria database.

Cell and atoms, written as POSCAR:
```
AcEr2Hg3
1.0
-3.767 0.221 0.036
-0.129 -2.637 2.696
0.563 8.287 8.133
Hg Er Ac
3 2 1
direct
0.000 0.000 0.697
0.000 0.000 0.000
0.000 0.000 0.303
0.500 0.500 0.156
0.500 0.500 0.844
0.500 0.500 0.500
```

Calculated values
formation enthalpy at 0 K: -458.2 meV per atom
space group: P4/mmm
final energy: -2.81 eV per atom

Entry 7:
The following is a PBE calculation of a relaxed structure of AcEr2Hg, from the Alexandria database.

Cell and atoms, written as POSCAR:
```
AcEr2Hg
1.0
-2.538 3.293 -2.877
-3.527 0.286 3.440
2.403 3.734 2.153
Er Ac Hg
2 1 1
direct
0.000 0.500 0.000
0.000 0.000 0.500
0.500 0.500 0.500
0.500 0.000 0.000
```

Calculated values
formation enthalpy at 0 K: -71.3 meV per atom
E above lowest polymorph: 125.5 meV/atom
space group: P4/mmm
final energy: -3.46 eV per atom

Entry 8:
The following is a PBE calculation of a relaxed structure of Ac2ErHg3, from the Alexandria database.

Cell and atoms, written as POSCAR:
```
Ac2ErHg3
1.0
-3.473 1.017 -1.280
-1.628 -2.430 2.486
-0.488 8.940 8.422
Hg Er Ac
3 1 2
direct
0.000 0.000 0.364
0.000 0.000 0.636
0.000 0.000 0.000
0.500 0.500 0.500
0.500 0.500 0.821
0.500 0.500 0.179
```

Calculated values
formation enthalpy at 0 K: -453.7 meV per atom
space group: P4/mmm
final energy: -2.73 eV per atom

Entry 9:
The following is a PBE calculation of a relaxed structure of AcErHg2, from the Alexandria database.

Cell and atoms, written as POSCAR:
```
AcErHg2
1.0
-0.801 3.104 -2.055
-2.965 0.739 2.271
4.707 4.347 4.730
Er Hg Ac
1 2 1
direct
0.500 0.500 0.000
0.000 0.000 0.214
0.000 0.000 0.786
0.500 0.500 0.500
```

Calculated values
formation enthalpy at 0 K: -457.9 meV per atom
space group: P4/mmm
final energy: -2.78 eV per atom

Entry 10:
The following is a PBE calculation of a relaxed structure of Ac3ErHg6, from the Alexandria database.

Cell and atoms, written as POSCAR:
```
Ac3ErHg6
1.0
8.130 0.000 0.000
4.065 7.041 0.000
4.065 2.347 6.638
Ac Hg Er
3 6 1
direct
0.250 0.250 0.250
0.500 0.500 0.500
0.750 0.750 0.750
0.760 0.760 0.240
0.760 0.240 0.240
0.240 0.760 0.760
0.240 0.760 0.240
0.240 0.240 0.760
0.760 0.240 0.760
0.000 0.000 0.000
```

Calculated values
formation enthalpy at 0 K: 117.6 meV per atom
space group: Fm-3m
final energy: -1.75 eV per atom

Entry 11:
The following is a PBE calculation of a relaxed structure of AcEr2Hg, from the Alexandria database.

Cell and atoms, written as POSCAR:
```
AcEr2Hg
1.0
-0.870 -3.542 -0.858
2.568 -2.233 -1.568
3.763 -5.058 8.887
Er Ac Hg
2 1 1
direct
0.263 0.263 0.212
0.071 0.071 0.788
0.500 0.500 0.499
0.666 0.666 0.001
```

Calculated values
formation enthalpy at 0 K: -108.5 meV per atom
E above lowest polymorph: 88.4 meV/atom
space group: R3m
final energy: -3.49 eV per atom

Entry 12:
The following is a PBE calculation of a relaxed structure of AcErHg4, from the Alexandria database.

Cell and atoms, written as POSCAR:
```
AcErHg4
1.0
-2.169 5.372 1.909
-5.929 0.609 1.294
-1.805 0.678 5.787
Ac Hg Er
1 4 1
direct
0.250 0.250 0.250
0.124 0.625 0.625
0.625 0.625 0.625
0.625 0.124 0.625
0.625 0.625 0.124
0.000 0.000 0.000
```

Calculated values
formation enthalpy at 0 K: -242.5 meV per atom
E above lowest polymorph: 137.6 meV/atom
space group: F-43m
final energy: -1.89 eV per atom

Entry 13:
The following is a PBE calculation of a relaxed structure of Ac2ErHg5, from the Alexandria database.

Cell and atoms, written as POSCAR:
```
Ac2ErHg5
1.0
5.417 0.000 0.000
0.000 5.417 0.000
-2.709 -2.709 7.698
Hg Ac Er
5 2 1
direct
0.500 0.500 0.000
0.890 0.390 0.781
0.610 0.110 0.219
0.110 0.610 0.219
0.390 0.890 0.781
0.736 0.736 0.473
0.264 0.264 0.527
0.000 0.000 0.000
```

Calculated values
formation enthalpy at 0 K: -380.4 meV per atom
space group: I4/mmm
final energy: -2.17 eV per atom

Entry 14:
The following is a PBE calculation of a relaxed structure of Ac2ErHg, from the Alexandria database.

Cell and atoms, written as POSCAR:
```
Ac2ErHg
1.0
3.968 0.000 0.000
0.000 3.968 0.000
0.000 0.000 9.105
Hg Ac Er
1 2 1
direct
0.500 0.500 0.000
0.000 0.000 0.228
0.000 0.000 0.772
0.500 0.500 0.500
```

Calculated values
formation enthalpy at 0 K: -184.7 meV per atom
E above lowest polymorph: 0.0 meV/atom
space group: P4/mmm
final energy: -3.46 eV per atom

Entry 15:
The following is a PBE calculation of a relaxed structure of AcErHg4, from the Alexandria database.

Cell and atoms, written as POSCAR:
```
AcErHg4
1.0
-0.626 -3.159 3.262
-0.321 -3.261 -3.220
8.889 -1.313 0.437
Hg Er Ac
4 1 1
direct
0.001 0.497 0.273
0.501 0.997 0.273
0.001 0.497 0.723
0.501 0.997 0.724
0.001 0.997 0.498
0.501 0.497 0.998
```

Calculated values
formation enthalpy at 0 K: -198.8 meV per atom
E above lowest polymorph: 181.3 meV/atom
space group: P4/mmm
final energy: -1.85 eV per atom

Entry 16:
The following is a PBE calculation of a relaxed structure of Ac5ErHg6, from the Alexandria database.

Cell and atoms, written as POSCAR:
```
Ac5ErHg6
1.0
-3.197 -4.531 -0.925
4.174 -1.597 -6.613
5.885 -7.769 0.774
Hg Ac Er
6 5 1
direct
0.500 0.221 0.000
0.157 0.391 0.686
0.843 0.077 0.314
0.157 0.923 0.686
0.500 0.779 0.000
0.843 0.609 0.314
0.664 0.664 0.673
0.000 0.500 0.000
0.328 0.828 0.345
0.672 0.172 0.655
0.336 0.336 0.327
0.000 0.000 0.000
```

Calculated values
formation enthalpy at 0 K: -453.4 meV per atom
space group: C2/m
final energy: -2.70 eV per atom

Entry 17:
The following is a PBE calculation of a relaxed structure of Ac5ErHg4, from the Alexandria database.

Cell and atoms, written as POSCAR:
```
Ac5ErHg4
1.0
4.020 0.000 0.000
0.000 4.020 0.000
0.000 0.000 21.201
Ac Hg Er
5 4 1
direct
0.500 0.500 0.115
0.500 0.500 0.692
0.500 0.500 0.308
0.500 0.500 0.500
0.500 0.500 0.885
0.000 0.000 0.595
0.000 0.000 0.791
0.000 0.000 0.209
0.000 0.000 0.405
0.000 0.000 0.000
```

Calculated values
formation enthalpy at 0 K: -355.2 meV per atom
space group: P4/mmm
final energy: -2.99 eV per atom

Entry 18:
The following is a PBE calculation of a relaxed structure of Ac3Er2Hg3, from the Alexandria database.

Cell and atoms, written as POSCAR:
```
Ac3Er2Hg3
1.0
-0.687 1.856 -3.395
-0.388 -5.001 -2.656
-10.922 1.306 5.201
Ac Er Hg
3 2 3
direct
0.500 0.000 0.000
0.376 0.376 0.752
0.624 0.624 0.248
0.266 0.766 0.531
0.734 0.234 0.469
0.000 0.500 0.000
0.868 0.868 0.736
0.132 0.132 0.264
```

Calculated values
formation enthalpy at 0 K: -338.8 meV per atom
space group: Immm
final energy: -3.13 eV per atom

Entry 19:
The following is a PBE calculation of a relaxed structure of AcEr2Hg, from the Alexandria database.

Cell and atoms, written as POSCAR:
```
AcEr2Hg
1.0
-0.824 -1.137 -3.451
2.033 -2.671 -1.616
-6.140 -8.670 2.311
Er Hg Ac
2 1 1
direct
0.738 0.738 0.785
0.262 0.262 0.215
0.000 0.000 0.000
0.500 0.500 0.500
```

Calculated values
formation enthalpy at 0 K: -141.1 meV per atom
E above lowest polymorph: 55.7 meV/atom
space group: R-3m
final energy: -3.53 eV per atom

Entry 20:
The following is a PBE calculation of a relaxed structure of AcEr2Hg, from the Alexandria database.

Cell and atoms, written as POSCAR:
```
AcEr2Hg
1.0
3.721 0.000 0.000
0.000 3.721 0.000
0.000 0.000 9.018
Er Ac Hg
2 1 1
direct
0.000 0.000 0.202
0.000 0.000 0.798
0.500 0.500 0.500
0.500 0.500 0.000
```

Calculated values
formation enthalpy at 0 K: -196.8 meV per atom
E above lowest polymorph: 0.0 meV/atom
space group: P4/mmm
final energy: -3.58 eV per atom

Entry 21:
The following is a PBE calculation of a relaxed structure of Ac2ErHg, from the Alexandria database.

Cell and atoms, written as POSCAR:
```
Ac2ErHg
1.0
5.824 0.000 0.000
2.912 5.044 0.000
2.912 1.681 4.756
Er Ac Hg
1 2 1
direct
0.000 0.000 0.000
0.250 0.250 0.250
0.750 0.750 0.750
0.500 0.500 0.500
```

Calculated values
formation enthalpy at 0 K: -52.6 meV per atom
E above lowest polymorph: 132.1 meV/atom
space group: Fm-3m
final energy: -3.32 eV per atom

Entry 22:
The following is a PBE calculation of a relaxed structure of AcEr2Hg, from the Alexandria database.

Cell and atoms, written as POSCAR:
```
AcEr2Hg
1.0
5.541 0.000 0.000
2.770 4.798 0.000
2.770 1.599 4.524
Hg Er Ac
1 2 1
direct
0.500 0.500 0.500
0.250 0.250 0.250
0.750 0.750 0.750
0.000 0.000 0.000
```

Calculated values
formation enthalpy at 0 K: 78.8 meV per atom
E above lowest polymorph: 275.6 meV/atom
space group: Fm-3m
final energy: -3.31 eV per atom

Entry 23:
The following is a PBE calculation of a relaxed structure of Ac2HoErHg6, from the Alexandria database.

Cell and atoms, written as POSCAR:
```
Ac2HoErHg6
1.0
-5.087 3.163 5.110
-5.535 -5.073 -2.369
-3.656 -4.578 5.260
Hg Er Ac Ho
6 1 2 1
direct
0.250 0.250 0.501
0.250 0.750 0.000
0.250 0.250 0.000
0.750 0.750 0.499
0.750 0.250 0.000
0.750 0.750 0.000
0.000 0.000 0.000
0.250 0.750 0.500
0.750 0.250 0.500
0.500 0.500 0.000
```

Calculated values
formation enthalpy at 0 K: 12.9 meV per atom
space group: Fm-3m
final energy: -1.90 eV per atom

Entry 24:
The following is a PBE calculation of a relaxed structure of Ac2Ho2ErHg5, from the Alexandria database.

Cell and atoms, written as POSCAR:
```
Ac2Ho2ErHg5
1.0
3.946 0.000 0.000
0.000 12.183 0.000
0.000 0.000 12.183
Hg Ac Ho Er
10 4 4 2
direct
0.500 0.922 0.181
0.500 0.181 0.078
0.500 0.319 0.578
0.500 0.422 0.319
0.500 0.681 0.422
0.500 0.078 0.819
0.500 0.819 0.922
0.500 0.000 0.500
0.500 0.500 0.000
0.500 0.578 0.681
0.000 0.172 0.328
0.000 0.672 0.172
0.000 0.328 0.828
0.000 0.828 0.672
0.000 0.630 0.870
0.000 0.370 0.130
0.000 0.130 0.630
0.000 0.870 0.370
0.000 0.000 0.000
0.000 0.500 0.500
```

Calculated values
formation enthalpy at 0 K: -349.9 meV per atom
space group: P4/mbm
final energy: -2.69 eV per atom